--- P ---
Density functional theory data (SCAN) for a PBEsol-optimized structure of Li8CrO6. Values from VASP.

Values from the calculation:
**Space group**: R-3, No. 148

Geometry as Quantum ESPRESSO input:
```
&SYSTEM
  ibrav = 0, nat = 15, ntyp = 3
/
ATOMIC_SPECIES
Li 6.94 Li.upf
Cr 52.00 Cr.upf
O 16.00 O.upf
ATOMIC_POSITIONS crystal
Li 0.0123 0.7372 0.3991
Li 0.1601 0.1601 0.1601
Li 0.2628 0.6009 0.9877
Li 0.3991 0.0123 0.7372
Li 0.6009 0.9877 0.2628
Li 0.7372 0.3991 0.0123
Li 0.8399 0.8399 0.8399
Li 0.9877 0.2628 0.6009
Cr 0.5000 0.5000 0.5000
O 0.1263 0.4126 0.7301
O 0.2699 0.8737 0.5874
O 0.4126 0.7301 0.1263
O 0.5874 0.2699 0.8737
O 0.7301 0.1263 0.4126
O 0.8737 0.5874 0.2699
CELL_PARAMETERS angstrom
2.6510 1.5306 4.8876
-2.6510 1.5306 4.8876
0.0000 -3.0612 4.8876
```

--- Q ---
Density functional theory data (SCAN) for a PBEsol-optimized structure of Li8CrO6. Values from VASP.

Values from the calculation:
**Space group**: P6_3cm, No. 185

Geometry as Quantum ESPRESSO input:
```
&SYSTEM
  ibrav = 0, nat = 30, ntyp = 3
/
ATOMIC_SPECIES
Li 6.94 Li.upf
Cr 52.00 Cr.upf
O 16.00 O.upf
ATOMIC_POSITIONS crystal
Li 0.0000 0.3119 0.0000
Li 0.0000 0.3919 0.6390
Li 0.0000 0.6081 0.1390
Li 0.0000 0.6881 0.5000
Li 0.3119 0.0000 0.0000
Li 0.3119 0.3119 0.5000
Li 0.3333 0.6667 0.3599
Li 0.3333 0.6667 0.8599
Li 0.3919 0.0000 0.6390
Li 0.3919 0.3919 0.1390
Li 0.6081 0.0000 0.1390
Li 0.6081 0.6081 0.6390
Li 0.6667 0.3333 0.3599
Li 0.6667 0.3333 0.8599
Li 0.6881 0.0000 0.5000
Li 0.6881 0.6881 0.0000
Cr 0.0000 0.0000 0.2721
Cr 0.0000 0.0000 0.7721
O 0.0000 0.0000 0.1020
O 0.0000 0.0000 0.6020
O 0.0000 0.3088 0.8171
O 0.0000 0.6912 0.3171
O 0.3088 0.0000 0.8171
O 0.3088 0.3088 0.3171
O 0.3333 0.6667 0.0498
O 0.3333 0.6667 0.5498
O 0.6667 0.3333 0.0498
O 0.6667 0.3333 0.5498
O 0.6912 0.0000 0.3171
O 0.6912 0.6912 0.8171
CELL_PARAMETERS angstrom
5.4717 0.0000 0.0000
-2.7359 4.7386 0.0000
0.0000 0.0000 10.6896
```

Pick Q: it beats the second-best structure by 3.3 kJ/mol of atoms.

--- P ---
Density functional theory data (SCAN) for a PBEsol-optimized structure of LiCr2O4. Values from VASP.

Values from the calculation:
**Space group**: P2/m, No. 10

Geometry as Quantum ESPRESSO input:
```
&SYSTEM
  ibrav = 0, nat = 7, ntyp = 3
/
ATOMIC_SPECIES
Li 6.94 Li.upf
Cr 52.00 Cr.upf
O 16.00 O.upf
ATOMIC_POSITIONS crystal
Li 0.0000 0.0000 0.0000
Cr 0.0000 0.5000 0.5000
Cr 0.5000 0.0000 0.5000
O 0.2334 0.0000 0.7021
O 0.2551 0.5000 0.2859
O 0.7449 0.5000 0.7141
O 0.7666 0.0000 0.2979
CELL_PARAMETERS angstrom
4.9817 0.0000 0.0000
0.0000 2.8839 0.0000
-1.7304 0.0000 4.7915
```

--- Q ---
Density functional theory data (SCAN) for a PBEsol-optimized structure of LiCr2O4. Values from VASP.

Values from the calculation:
**Space group**: Fd-3m, No. 227

Geometry as Quantum ESPRESSO input:
```
&SYSTEM
  ibrav = 0, nat = 14, ntyp = 3
/
ATOMIC_SPECIES
Li 6.94 Li.upf
Cr 52.00 Cr.upf
O 16.00 O.upf
ATOMIC_POSITIONS crystal
Li 0.1250 0.1250 0.1250
Li 0.8750 0.8750 0.8750
Cr 0.0000 0.5000 0.5000
Cr 0.5000 0.0000 0.5000
Cr 0.5000 0.5000 0.0000
Cr 0.5000 0.5000 0.5000
O 0.2628 0.2628 0.2628
O 0.2628 0.2628 0.7117
O 0.2628 0.7117 0.2628
O 0.2883 0.7372 0.7372
O 0.7117 0.2628 0.2628
O 0.7372 0.2883 0.7372
O 0.7372 0.7372 0.2883
O 0.7372 0.7372 0.7372
CELL_PARAMETERS angstrom
0.0000 4.0804 4.0804
4.0804 0.0000 4.0804
4.0804 4.0804 0.0000
```

Pick Q: it beats the second-best structure by 6.6 kJ/mol of atoms.

--- P ---
Density functional theory data (SCAN) for a PBEsol-optimized structure of Li4CrO5. Values from VASP.

Values from the calculation:
**Space group**: P-1, No. 2

Geometry as Quantum ESPRESSO input:
```
&SYSTEM
  ibrav = 0, nat = 40, ntyp = 3
/
ATOMIC_SPECIES
Li 6.94 Li.upf
Cr 52.00 Cr.upf
O 16.00 O.upf
ATOMIC_POSITIONS crystal
Li 0.0000 0.0000 0.0000
Li 0.0028 0.3958 0.5959
Li 0.0213 0.7989 0.1989
Li 0.2195 0.5506 0.9366
Li 0.2508 0.9521 0.5394
Li 0.2538 0.3552 0.1601
Li 0.2806 0.1495 0.3536
Li 0.4868 0.8957 0.0867
Li 0.5000 0.5000 0.5000
Li 0.5132 0.1043 0.9133
Li 0.7194 0.8505 0.6464
Li 0.7462 0.6448 0.8399
Li 0.7492 0.0479 0.4606
Li 0.7805 0.4494 0.0634
Li 0.9787 0.2011 0.8011
Li 0.9972 0.6042 0.4041
Cr 0.2169 0.7873 0.7518
Cr 0.4772 0.3016 0.7383
Cr 0.5228 0.6984 0.2617
Cr 0.7831 0.2127 0.2482
O 0.0843 0.3624 0.3590
O 0.1115 0.9714 0.7764
O 0.1341 0.7709 0.9432
O 0.1686 0.5928 0.1855
O 0.1746 0.1833 0.5862
O 0.3466 0.7285 0.5607
O 0.3700 0.3237 0.9194
O 0.3913 0.8960 0.3197
O 0.3971 0.4839 0.7146
O 0.4301 0.1414 0.1408
O 0.5699 0.8586 0.8592
O 0.6029 0.5161 0.2854
O 0.6087 0.1040 0.6803
O 0.6300 0.6763 0.0806
O 0.6534 0.2715 0.4393
O 0.8254 0.8167 0.4138
O 0.8314 0.4072 0.8145
O 0.8659 0.2291 0.0568
O 0.8885 0.0286 0.2236
O 0.9157 0.6376 0.6410
CELL_PARAMETERS angstrom
4.9190 0.0000 0.0000
-0.9607 8.6257 0.0000
-0.9995 -3.5818 7.8884
```

--- Q ---
Density functional theory data (SCAN) for a PBEsol-optimized structure of Li4CrO5. Values from VASP.

Values from the calculation:
**Space group**: C2/c, No. 15

Geometry as Quantum ESPRESSO input:
```
&SYSTEM
  ibrav = 0, nat = 20, ntyp = 3
/
ATOMIC_SPECIES
Li 6.94 Li.upf
Cr 52.00 Cr.upf
O 16.00 O.upf
ATOMIC_POSITIONS crystal
Li 0.0628 0.7216 0.5550
Li 0.1370 0.4657 0.8523
Li 0.2784 0.9372 0.9450
Li 0.4657 0.1370 0.3523
Li 0.5343 0.8630 0.6477
Li 0.7216 0.0628 0.0550
Li 0.8630 0.5343 0.1477
Li 0.9372 0.2784 0.4450
Cr 0.3297 0.6703 0.2500
Cr 0.6703 0.3297 0.7500
O 0.0910 0.7320 0.0707
O 0.1466 0.4849 0.3407
O 0.2680 0.9090 0.4293
O 0.3700 0.6300 0.7500
O 0.4849 0.1466 0.8407
O 0.5151 0.8534 0.1593
O 0.6300 0.3700 0.2500
O 0.7320 0.0910 0.5707
O 0.8534 0.5151 0.6593
O 0.9090 0.2680 0.9293
CELL_PARAMETERS angstrom
4.2807 -2.8678 0.0000
4.2807 2.8678 0.0000
-1.0608 0.0000 7.6415
```

Pick Q: it beats the second-best structure by 1.7 kJ/mol of atoms.